[1]
Crystalline Ba8TlSn2 at its relaxed geometry. Source: Alexandria, functional PBE.

abc: 11.3271 11.3271 8.2952
angles: 105.32 105.32 30.59
Last column: nearest neighbours and their distance in Å.
Element x y z (fractional)
Ba: 0.0318 0.0318 0.2895  2 Tl 3.62, 1 Sn 3.67
Ba: 0.2064 0.2064 0.8085  3 Sn 3.50-3.79
Ba: 0.3364 0.3364 0.5445  3 Sn 3.59-3.72, 1 Tl 3.69
Ba: 0.4055 0.4055 0.0551  1 Tl 3.70, 2 Sn 3.97, 1 Ba 4.09
Ba: 0.5945 0.5945 0.9449  1 Tl 3.70, 2 Sn 3.97, 1 Ba 4.09
Ba: 0.6636 0.6636 0.4555  3 Sn 3.59-3.72, 1 Tl 3.69
Ba: 0.7936 0.7936 0.1915  3 Sn 3.50-3.79
Ba: 0.9682 0.9682 0.7105  2 Tl 3.62, 1 Sn 3.67
Tl: 0.5000 0.5000 0.5000  8 Ba 3.62-3.70
Sn: 0.1897 0.1897 0.2158  7 Ba 3.50-3.79
Sn: 0.8103 0.8103 0.7842  7 Ba 3.50-3.79

Output
The energy above the lowest structure with this stoichiometry comes out at 0 meV/atom. As for the energy relative to the elements: -0.3729 eV/atom. The density of states at the Fermi level comes out at 0.957 states/eV per atom.



[2]
Crystalline Pa2Si4TcNi3 at its relaxed geometry. Source: Alexandria, functional PBE.

abc: 4.0321 4.0321 9.4864
angles: 90.00 90.00 90.00
Last column: nearest neighbours and their distance in Å.
Element x y z (fractional)
Pa: 0.0000 0.5000 0.2487  8 Si 3.05-3.10, 6 Ni 3.10-3.12, 2 Tc 3.12
Pa: 0.5000 0.0000 0.7513  8 Si 3.05-3.10, 6 Ni 3.10-3.12, 2 Tc 3.12
Si: 0.0000 0.0000 0.0000  4 Ni 2.31
Si: 0.0000 0.5000 0.6381  3 Ni 2.30-2.40, 2 Tc 2.40
Si: 0.5000 0.0000 0.3619  3 Ni 2.30-2.40, 2 Tc 2.40
Si: 0.5000 0.5000 0.0000  4 Ni 2.31
Tc: 0.0000 0.0000 0.5000  4 Si 2.40
Ni: 0.0000 0.5000 0.8807  5 Si 2.30-2.31
Ni: 0.5000 0.0000 0.1193  5 Si 2.30-2.31
Ni: 0.5000 0.5000 0.5000  4 Si 2.40

Output
As for the energy relative to the elements, uncorrected: -0.7599 eV/atom. The density of states at the Fermi level comes out at 0.592 states/eV per atom.



[3]
Crystalline RbPaRhSe3 at its relaxed geometry. Source: Alexandria, functional PBE.

abc: 9.2915 4.1329 9.9510
angles: 90.00 113.66 90.00
Last column: nearest neighbours and their distance in Å.
Element x y z (fractional)
Rb: 0.2184 0.2500 0.2490  7 Se 3.47-3.61
Rb: 0.7816 0.7500 0.7510  7 Se 3.47-3.61
Pa: 0.3028 0.7500 0.8230  6 Se 2.73-2.93
Pa: 0.6972 0.2500 0.1770  6 Se 2.73-2.93
Rh: 0.0976 0.2500 0.5947  4 Se 2.53-2.61
Rh: 0.9024 0.7500 0.4053  4 Se 2.53-2.61
Se: 0.1141 0.2500 0.8585  1 Rh 2.57, 2 Pa 2.82
Se: 0.2091 0.7500 0.5255  3 Rh 2.53-2.61, 1 Pa 2.73
Se: 0.4635 0.7500 0.1439  3 Pa 2.92-2.93
Se: 0.5365 0.2500 0.8561  3 Pa 2.92-2.93
Se: 0.7909 0.2500 0.4745  3 Rh 2.53-2.61, 1 Pa 2.73
Se: 0.8859 0.7500 0.1415  1 Rh 2.57, 2 Pa 2.82

Output
As for the energy relative to the elements, uncorrected: -1.1157 eV/atom. The density of states at the Fermi level comes out at 0.772 states/eV per atom.



[4]
Crystalline NdAgHg2 at its relaxed geometry. Source: Alexandria, functional PBE.

abc: 4.6293 4.6293 4.6709
angles: 90.00 90.00 90.00
Last column: nearest neighbours and their distance in Å.
Element x y z (fractional)
Nd: 0.0000 0.0000 0.0000  4 Ag 3.27, 8 Hg 3.29
Ag: 0.5000 0.5000 0.0000  4 Nd 3.27, 8 Hg 3.29
Hg: 0.0000 0.5000 0.5000  4 Hg 3.27, 4 Nd 3.29, 4 Ag 3.29
Hg: 0.5000 0.0000 0.5000  4 Hg 3.27, 4 Nd 3.29, 4 Ag 3.29

Output
As for the energy relative to the elements: -0.2438 eV/atom. The density of states at the Fermi level comes out at 0.945 states/eV per atom.